# Tb3Sm2Tm3 (PBE-GGA, optimized geometry)
data_Tb3Sm2Tm3
_symmetry_space_group_name_H-M 'P 1'
_symmetry_Int_Tables_number 1
_symmetry_space_group_name_Hall 'P 1'
_cell_length_a 5.020
_cell_length_b 5.026
_cell_length_c 10.636
_cell_angle_alpha 103.65
_cell_angle_beta 103.65
_cell_angle_gamma 90.00
loop_
_atom_site_label
_atom_site_type_symbol
_atom_site_fract_x
_atom_site_fract_y
_atom_site_fract_z
Tb1 Tb 0.623 0.623 0.246
Tb2 Tb 0.377 0.377 0.754
Tb3 Tb 0.500 0.000 0.000
Sm1 Sm 0.750 0.250 0.500
Sm2 Sm 0.250 0.750 0.500
Tm1 Tm 0.124 0.124 0.247
Tm2 Tm 0.000 0.500 0.000
Tm3 Tm 0.876 0.876 0.753
# **Calculated density**: 8.43 g/cm3
# **Offset from the most stable computed form**: 0 meV per atom
# **Space-group type**: No. 71
# **DOS at the Fermi energy**: 11.46 states/eV/f.u.